(1)
Material: MgVInS4
Method: DFT, GGA-PBEsol
State: optimized geometry

theoretical density	3.716	g/cm3
magnetization	4.00	μB per cell
calculated total energy	-5.4445	eV/atom
formation energy without anion corrections	-0.892	eV/atom

Cell lengths 7.122, 7.443, 7.423 Å; angles 119.91, 90.00, 118.58 degrees
Element x y z (fractional)
V 0.000 0.500 0.000
V 0.500 0.500 0.000
In 0.000 0.000 0.000
In 0.000 0.000 0.500
S 0.755 0.510 0.779
S 0.726 0.948 0.224
S 0.777 0.052 0.776
S 0.223 0.948 0.224
S 0.755 0.510 0.231
S 0.245 0.490 0.221
S 0.245 0.490 0.769
S 0.274 0.052 0.776
Mg 0.374 0.747 0.624
Mg 0.626 0.253 0.376

(2)
Material: BeOsIO2
Method: DFT, GGA-PBEsol
State: optimized geometry

theoretical density	8.172	g/cm3
magnetization	2.75	μB per cell
calculated total energy	-5.0962	eV/atom
formation energy without anion corrections	0.600	eV/atom

Cell lengths 3.589, 3.589, 5.651 Å; angles 90.00, 90.00, 90.00 degrees
Element x y z (fractional)
I 0.000 0.000 0.500
O 0.000 0.500 0.000
O 0.500 0.000 0.000
Be 0.000 0.000 0.000
Os 0.500 0.500 0.500

(3)
Material: LiCuNF2
Method: DFT, GGA-PBEsol
State: optimized geometry

theoretical density	4.211	g/cm3
magnetization	2.93	μB per cell
calculated total energy	-4.0048	eV/atom
formation energy without anion corrections	-0.268	eV/atom

Cell lengths 3.491, 3.491, 3.964 Å; angles 90.00, 90.00, 90.00 degrees
Element x y z (fractional)
N 0.000 0.000 0.500
Cu 0.500 0.500 0.500
Li 0.000 0.000 0.000
F 0.000 0.500 0.000
F 0.500 0.000 0.000

(4)
Material: Li2ZnCdP2
Method: DFT, GGA-PBEsol
State: optimized geometry

theoretical density	4.177	g/cm3
magnetization	0.00	μB per cell
calculated total energy	-3.5359	eV/atom

Cell lengths 4.143, 4.143, 7.194 Å; angles 73.27, 73.27, 60.00 degrees
Element x y z (fractional)
Zn 0.875 0.875 0.375
P 0.995 0.995 0.016
P 0.504 0.504 0.489
Cd 0.376 0.376 0.873
Li 0.624 0.624 0.127
Li 0.126 0.126 0.621

(5)
Material: SrTl2Te
Method: DFT, GGA-PBEsol
State: optimized geometry

theoretical density	8.280	g/cm3
magnetization	0.00	μB per cell
energy relative to the lowest polymorph listed for this composition	17	meV per atom
calculated total energy	-3.2641	eV/atom
formation energy without anion corrections	-0.607	eV/atom

Cell lengths 4.234, 4.234, 6.981 Å; angles 90.00, 90.00, 90.00 degrees
Element x y z (fractional)
Te 0.500 0.500 0.722
Sr 0.000 0.000 0.530
Tl 0.500 0.500 0.234
Tl 0.000 0.000 0.015

(6)
Material: Re2NiSnRu
Method: DFT, GGA-PBEsol
State: optimized geometry

theoretical density	12.580	g/cm3
magnetization	0.00	μB per cell
calculated total energy	-7.7361	eV/atom

Cell lengths 4.383, 4.383, 4.471 Å; angles 90.00, 90.00, 90.00 degrees
Element x y z (fractional)
Re 0.000 0.500 0.000
Re 0.500 0.000 0.000
Ni 0.000 0.000 0.000
Ru 0.500 0.500 0.500
Sn 0.000 0.000 0.500

Q: What is the calculated total energy in the second record?
A: -5.0962 eV/atom